No. 1
# Pu2Ga4PdAu3, relaxed, DFT PBE-GGA
data_Pu2Ga4PdAu3
_cell_length_a 4.271
_cell_length_b 4.271
_cell_length_c 11.083
_cell_angle_alpha 90.00
_cell_angle_beta 90.00
_cell_angle_gamma 90.00
_space_group_name_H-M_alt 'P -4 m 2'
_space_group_IT_number 115
loop_
_space_group_symop_operation_xyz
'x,y,z'
'y,-x,-z'
'-x,-y,z'
'-y,x,-z'
'-x,y,z'
'-y,-x,-z'
'x,-y,z'
'y,x,-z'
loop_
_atom_site_label
_atom_site_type_symbol
_atom_site_fract_x
_atom_site_fract_y
_atom_site_fract_z
Pu1 Pu 0.000 0.500 0.246
Ga1 Ga 0.000 0.000 0.500
Ga2 Ga 0.000 0.500 0.869
Ga3 Ga 0.500 0.500 0.500
Pd1 Pd 0.500 0.500 0.000
Au1 Au 0.000 0.000 0.000
Au2 Au 0.000 0.500 0.641
# **Formation energy from the elements**: -0.453 eV/atom
# **Calculated density**: 12.0 g cm⁻³


No. 2
# GaPdRhAu, relaxed, DFT PBE-GGA
data_GaPdRhAu
_cell_length_a 6.290
_cell_length_b 6.290
_cell_length_c 6.290
_cell_angle_alpha 90.00
_cell_angle_beta 90.00
_cell_angle_gamma 90.00
_space_group_name_H-M_alt 'F -4 3 m'
_space_group_IT_number 216
_space_group_name_Hall 'F -4 2 3'
loop_
_atom_site_label
_atom_site_type_symbol
_atom_site_fract_x
_atom_site_fract_y
_atom_site_fract_z
Ga1 Ga 0.000 0.000 0.000
Pd1 Pd 0.250 0.250 0.750
Rh1 Rh 0.250 0.250 0.250
Au1 Au 0.000 0.000 0.500
# **Formation energy from the elements**: -0.314 eV/atom
# **Calculated density**: 12.7 g cm⁻³


No. 3
# GaPdRuAu, relaxed, DFT PBE-GGA
data_GaPdRuAu
_cell_length_a 6.292
_cell_length_b 6.292
_cell_length_c 6.292
_cell_angle_alpha 90.00
_cell_angle_beta 90.00
_cell_angle_gamma 90.00
_space_group_name_H-M_alt 'F -4 3 m'
_space_group_IT_number 216
_space_group_name_Hall 'F -4 2 3'
loop_
_atom_site_label
_atom_site_type_symbol
_atom_site_fract_x
_atom_site_fract_y
_atom_site_fract_z
Ga1 Ga 0.000 0.000 0.000
Pd1 Pd 0.250 0.250 0.250
Ru1 Ru 0.250 0.250 0.750
Au1 Au 0.000 0.000 0.500
# **Formation energy from the elements**: -0.052 eV/atom
# **Calculated density**: 12.6 g cm⁻³


No. 4
# ScGaPdAu, relaxed, DFT PBE-GGA
data_ScGaPdAu
_cell_length_a 6.509
_cell_length_b 6.509
_cell_length_c 6.509
_cell_angle_alpha 90.00
_cell_angle_beta 90.00
_cell_angle_gamma 90.00
_space_group_name_H-M_alt 'F -4 3 m'
_space_group_IT_number 216
_space_group_name_Hall 'F -4 2 3'
loop_
_atom_site_label
_atom_site_type_symbol
_atom_site_fract_x
_atom_site_fract_y
_atom_site_fract_z
Sc1 Sc 0.000 0.000 0.000
Ga1 Ga 0.000 0.000 0.500
Pd1 Pd 0.250 0.250 0.250
Au1 Au 0.250 0.250 0.750
# **Formation energy from the elements**: -0.718 eV/atom
# **Calculated density**: 10.1 g cm⁻³


No. 5
# SmGa4Pd2Au, relaxed, DFT PBE-GGA
data_SmGa4Pd2Au
_cell_length_a 4.3324
_cell_length_b 4.3324
_cell_length_c 26.9939
_cell_angle_alpha 90.00
_cell_angle_beta 90.00
_cell_angle_gamma 120.00
_space_group_name_H-M_alt 'R -3 m'
_space_group_IT_number 166
_space_group_name_Hall '-R 3 2"'
loop_
_atom_site_label
_atom_site_type_symbol
_atom_site_fract_x
_atom_site_fract_y
_atom_site_fract_z
Sm1 Sm 0.0000 0.0000 0.0000
Ga1 Ga 0.0000 0.0000 0.1240
Ga2 Ga 0.0000 0.0000 0.3965
Pd1 Pd 0.0000 0.0000 0.2451
Au1 Au 0.0000 0.0000 0.5000
# **Formation energy from the elements**: -0.543 eV/atom
# **Calculated density**: 9.5 g cm⁻³


No. 6
# Sm2Ga4Pd3Au, relaxed, DFT PBE-GGA
data_Sm2Ga4Pd3Au
_cell_length_a 4.263
_cell_length_b 4.263
_cell_length_c 10.707
_cell_angle_alpha 90.00
_cell_angle_beta 90.00
_cell_angle_gamma 90.00
_space_group_name_H-M_alt 'P -4 m 2'
_space_group_IT_number 115
loop_
_space_group_symop_operation_xyz
'x,y,z'
'y,-x,-z'
'-x,-y,z'
'-y,x,-z'
'-x,y,z'
'-y,-x,-z'
'x,-y,z'
'y,x,-z'
loop_
_atom_site_label
_atom_site_type_symbol
_atom_site_fract_x
_atom_site_fract_y
_atom_site_fract_z
Sm1 Sm 0.000 0.500 0.242
Ga1 Ga 0.000 0.000 0.000
Ga2 Ga 0.000 0.500 0.638
Ga3 Ga 0.500 0.500 0.000
Pd1 Pd 0.000 0.500 0.868
Pd2 Pd 0.500 0.500 0.500
Au1 Au 0.000 0.000 0.500
# **Formation energy from the elements**: -0.757 eV/atom
# **Calculated density**: 9.4 g cm⁻³


No. 7
# SmGa3PdAu, relaxed, DFT PBE-GGA
data_SmGa3PdAu
_cell_length_a 6.574
_cell_length_b 13.531
_cell_length_c 6.016
_cell_angle_alpha 90.00
_cell_angle_beta 90.00
_cell_angle_gamma 90.00
_space_group_name_H-M_alt 'C m c m'
_space_group_IT_number 63
_space_group_name_Hall '-C 2c 2'
loop_
_atom_site_label
_atom_site_type_symbol
_atom_site_fract_x
_atom_site_fract_y
_atom_site_fract_z
Sm1 Sm 0.000 0.207 0.250
Ga1 Ga 0.000 0.195 0.750
Ga2 Ga 0.200 0.500 0.000
Pd1 Pd 0.000 0.017 0.750
Au1 Au 0.000 0.373 0.750
# **Formation energy from the elements**: -0.360 eV/atom
# **Calculated density**: 8.2 g cm⁻³


No. 8
# Sm2Ga3Pd4Au, relaxed, DFT PBE-GGA
data_Sm2Ga3Pd4Au
_cell_length_a 4.059
_cell_length_b 4.059
_cell_length_c 11.777
_cell_angle_alpha 90.00
_cell_angle_beta 90.00
_cell_angle_gamma 90.00
_space_group_name_H-M_alt 'P -4 m 2'
_space_group_IT_number 115
loop_
_space_group_symop_operation_xyz
'x,y,z'
'y,-x,-z'
'-x,-y,z'
'-y,x,-z'
'-x,y,z'
'-y,-x,-z'
'x,-y,z'
'y,x,-z'
loop_
_atom_site_label
_atom_site_type_symbol
_atom_site_fract_x
_atom_site_fract_y
_atom_site_fract_z
Sm1 Sm 0.000 0.500 0.241
Ga1 Ga 0.000 0.000 0.000
Ga2 Ga 0.000 0.500 0.629
Pd1 Pd 0.000 0.000 0.500
Pd2 Pd 0.000 0.500 0.839
Pd3 Pd 0.500 0.500 0.500
Au1 Au 0.500 0.500 0.000
# **Formation energy from the elements**: -0.749 eV/atom
# **Calculated density**: 9.7 g cm⁻³


No. 9
# Sm2Ga3PdAu4, relaxed, DFT PBE-GGA
data_Sm2Ga3PdAu4
_cell_length_a 4.228
_cell_length_b 4.228
_cell_length_c 11.505
_cell_angle_alpha 90.00
_cell_angle_beta 90.00
_cell_angle_gamma 90.00
_space_group_name_H-M_alt 'P -4 m 2'
_space_group_IT_number 115
loop_
_space_group_symop_operation_xyz
'x,y,z'
'y,-x,-z'
'-x,-y,z'
'-y,x,-z'
'-x,y,z'
'-y,-x,-z'
'x,-y,z'
'y,x,-z'
loop_
_atom_site_label
_atom_site_type_symbol
_atom_site_fract_x
_atom_site_fract_y
_atom_site_fract_z
Sm1 Sm 0.000 0.500 0.247
Ga1 Ga 0.000 0.000 0.000
Ga2 Ga 0.000 0.500 0.633
Pd1 Pd 0.500 0.500 0.000
Au1 Au 0.000 0.000 0.500
Au2 Au 0.000 0.500 0.850
Au3 Au 0.500 0.500 0.500
# **Formation energy from the elements**: -0.599 eV/atom
# **Calculated density**: 11.3 g cm⁻³


No. 10
# Sr2Ga3PdAu12, relaxed, DFT PBE-GGA
data_Sr2Ga3PdAu12
_cell_length_a 8.8782
_cell_length_b 8.8782
_cell_length_c 20.2365
_cell_angle_alpha 90.00
_cell_angle_beta 90.00
_cell_angle_gamma 120.00
_space_group_name_H-M_alt 'R -3 m'
_space_group_IT_number 166
_space_group_name_Hall '-R 3 2"'
loop_
_atom_site_label
_atom_site_type_symbol
_atom_site_fract_x
_atom_site_fract_y
_atom_site_fract_z
Sr1 Sr 0.0000 0.0000 0.1123
Ga1 Ga 0.0000 0.5000 0.0000
Pd1 Pd 0.0000 0.0000 0.5000
Au1 Au 0.0056 0.5028 0.1322
Au2 Au 0.0854 0.5427 0.3917
# **Formation energy from the elements**: -0.113 eV/atom
# **Calculated density**: 10.3 g cm⁻³


No. 11
# SrGa3PdAu, relaxed, DFT PBE-GGA
data_SrGa3PdAu
_cell_length_a 6.637
_cell_length_b 12.706
_cell_length_c 6.659
_cell_angle_alpha 90.00
_cell_angle_beta 90.00
_cell_angle_gamma 90.00
_space_group_name_H-M_alt 'C m c m'
_space_group_IT_number 63
_space_group_name_Hall '-C 2c 2'
loop_
_atom_site_label
_atom_site_type_symbol
_atom_site_fract_x
_atom_site_fract_y
_atom_site_fract_z
Sr1 Sr 0.000 0.248 0.250
Ga1 Ga 0.000 0.297 0.750
Ga2 Ga 0.201 0.000 0.000
Pd1 Pd 0.000 0.111 0.750
Au1 Au 0.000 0.492 0.750
# **Formation energy from the elements**: -0.379 eV/atom
# **Calculated density**: 7.1 g cm⁻³


No. 12
# Sr2GaPdAu6, relaxed, DFT PBE-GGA
data_Sr2GaPdAu6
_cell_length_a 12.722
_cell_length_b 5.507
_cell_length_c 9.130
_cell_angle_alpha 90.00
_cell_angle_beta 131.52
_cell_angle_gamma 90.00
_space_group_name_H-M_alt 'C 1 2/m 1'
_space_group_IT_number 12
loop_
_space_group_symop_operation_xyz
'x,y,z'
'-x,-y,-z'
'-x,y,-z'
'x,-y,z'
'x+1/2,y+1/2,z'
'-x+1/2,-y+1/2,-z'
'-x+1/2,y+1/2,-z'
'x+1/2,-y+1/2,z'
loop_
_atom_site_label
_atom_site_type_symbol
_atom_site_fract_x
_atom_site_fract_y
_atom_site_fract_z
Sr1 Sr 0.225 0.000 0.183
Ga1 Ga 0.000 0.000 0.500
Pd1 Pd 0.000 0.500 0.000
Au1 Au 0.002 0.252 0.741
Au2 Au 0.248 0.500 0.388
# **Formation energy from the elements**: -0.489 eV/atom
# **Calculated density**: 10.6 g cm⁻³


No. 13
# SrGa4PdAu2, relaxed, DFT PBE-GGA
data_SrGa4PdAu2
_cell_length_a 4.4336
_cell_length_b 4.4336
_cell_length_c 28.3785
_cell_angle_alpha 90.00
_cell_angle_beta 90.00
_cell_angle_gamma 120.00
_space_group_name_H-M_alt 'R -3 m'
_space_group_IT_number 166
_space_group_name_Hall '-R 3 2"'
loop_
_atom_site_label
_atom_site_type_symbol
_atom_site_fract_x
_atom_site_fract_y
_atom_site_fract_z
Sr1 Sr 0.0000 0.0000 0.0000
Ga1 Ga 0.0000 0.0000 0.1362
Ga2 Ga 0.0000 0.0000 0.4047
Pd1 Pd 0.0000 0.0000 0.5000
Au1 Au 0.0000 0.0000 0.2431
# **Formation energy from the elements**: -0.447 eV/atom
# **Calculated density**: 8.9 g cm⁻³


No. 14
# Sr2Ga3PdAu4, relaxed, DFT PBE-GGA
data_Sr2Ga3PdAu4
_cell_length_a 4.454
_cell_length_b 4.454
_cell_length_c 11.114
_cell_angle_alpha 90.00
_cell_angle_beta 90.00
_cell_angle_gamma 90.00
_space_group_name_H-M_alt 'P -4 m 2'
_space_group_IT_number 115
loop_
_space_group_symop_operation_xyz
'x,y,z'
'y,-x,-z'
'-x,-y,z'
'-y,x,-z'
'-x,y,z'
'-y,-x,-z'
'x,-y,z'
'y,x,-z'
loop_
_atom_site_label
_atom_site_type_symbol
_atom_site_fract_x
_atom_site_fract_y
_atom_site_fract_z
Sr1 Sr 0.000 0.500 0.243
Ga1 Ga 0.000 0.000 0.000
Ga2 Ga 0.000 0.500 0.627
Pd1 Pd 0.500 0.500 0.000
Au1 Au 0.000 0.000 0.500
Au2 Au 0.000 0.500 0.856
Au3 Au 0.500 0.500 0.500
# **Formation energy from the elements**: -0.570 eV/atom
# **Calculated density**: 9.6 g cm⁻³


No. 15
# SrGa2Pd2Au, relaxed, DFT PBE-GGA
data_SrGa2Pd2Au
_cell_length_a 4.821
_cell_length_b 4.821
_cell_length_c 5.839
_cell_angle_alpha 90.00
_cell_angle_beta 90.00
_cell_angle_gamma 90.00
_space_group_name_H-M_alt 'P 4/m m m'
_space_group_IT_number 123
_space_group_name_Hall '-P 4 2'
loop_
_atom_site_label
_atom_site_type_symbol
_atom_site_fract_x
_atom_site_fract_y
_atom_site_fract_z
Sr1 Sr 0.000 0.000 0.000
Ga1 Ga 0.000 0.500 0.500
Pd1 Pd 0.500 0.500 0.255
Au1 Au 0.000 0.000 0.500
# **Formation energy from the elements**: -0.294 eV/atom
# **Calculated density**: 7.8 g cm⁻³


No. 16
# TbGa4Pd2Au, relaxed, DFT PBE-GGA
data_TbGa4Pd2Au
_cell_length_a 4.3274
_cell_length_b 4.3274
_cell_length_c 26.6133
_cell_angle_alpha 90.00
_cell_angle_beta 90.00
_cell_angle_gamma 120.00
_space_group_name_H-M_alt 'R -3 m'
_space_group_IT_number 166
_space_group_name_Hall '-R 3 2"'
loop_
_atom_site_label
_atom_site_type_symbol
_atom_site_fract_x
_atom_site_fract_y
_atom_site_fract_z
Tb1 Tb 0.0000 0.0000 0.0000
Ga1 Ga 0.0000 0.0000 0.1238
Ga2 Ga 0.0000 0.0000 0.3948
Pd1 Pd 0.0000 0.0000 0.2475
Au1 Au 0.0000 0.0000 0.5000
# **Formation energy from the elements**: -0.536 eV/atom
# **Calculated density**: 9.8 g cm⁻³


No. 17
# TbGa3PdAu, relaxed, DFT PBE-GGA
data_TbGa3PdAu
_cell_length_a 6.558
_cell_length_b 13.810
_cell_length_c 5.925
_cell_angle_alpha 90.00
_cell_angle_beta 90.00
_cell_angle_gamma 90.00
_space_group_name_H-M_alt 'C m c m'
_space_group_IT_number 63
_space_group_name_Hall '-C 2c 2'
loop_
_atom_site_label
_atom_site_type_symbol
_atom_site_fract_x
_atom_site_fract_y
_atom_site_fract_z
Tb1 Tb 0.000 0.193 0.250
Ga1 Ga 0.000 0.198 0.750
Ga2 Ga 0.199 0.500 0.000
Pd1 Pd 0.000 0.023 0.750
Au1 Au 0.000 0.372 0.750
# **Formation energy from the elements**: -0.328 eV/atom
# **Calculated density**: 8.3 g cm⁻³


No. 18
# ThGa3PdAu, relaxed, DFT PBE-GGA
data_ThGa3PdAu
_cell_length_a 5.696
_cell_length_b 14.085
_cell_length_c 5.990
_cell_angle_alpha 90.00
_cell_angle_beta 90.00
_cell_angle_gamma 90.00
_space_group_name_H-M_alt 'C m c m'
_space_group_IT_number 63
_space_group_name_Hall '-C 2c 2'
loop_
_atom_site_label
_atom_site_type_symbol
_atom_site_fract_x
_atom_site_fract_y
_atom_site_fract_z
Th1 Th 0.000 0.199 0.250
Ga1 Ga 0.000 0.380 0.750
Ga2 Ga 0.220 0.000 0.000
Pd1 Pd 0.000 0.397 0.250
Au1 Au 0.000 0.177 0.750
# **Formation energy from the elements**: -0.411 eV/atom
# **Calculated density**: 10.3 g cm⁻³


No. 19
# Th2Ga4PdAu3, relaxed, DFT PBE-GGA
data_Th2Ga4PdAu3
_cell_length_a 4.419
_cell_length_b 4.419
_cell_length_c 10.419
_cell_angle_alpha 90.00
_cell_angle_beta 90.00
_cell_angle_gamma 90.00
_space_group_name_H-M_alt 'P -4 m 2'
_space_group_IT_number 115
loop_
_space_group_symop_operation_xyz
'x,y,z'
'y,-x,-z'
'-x,-y,z'
'-y,x,-z'
'-x,y,z'
'-y,-x,-z'
'x,-y,z'
'y,x,-z'
loop_
_atom_site_label
_atom_site_type_symbol
_atom_site_fract_x
_atom_site_fract_y
_atom_site_fract_z
Th1 Th 0.000 0.500 0.242
Ga1 Ga 0.000 0.000 0.500
Ga2 Ga 0.000 0.500 0.872
Ga3 Ga 0.500 0.500 0.500
Pd1 Pd 0.500 0.500 0.000
Au1 Au 0.000 0.000 0.000
Au2 Au 0.000 0.500 0.632
# **Formation energy from the elements**: -0.636 eV/atom
# **Calculated density**: 11.8 g cm⁻³


No. 20
# ThGaPdAu, relaxed, DFT PBE-GGA
data_ThGaPdAu
_cell_length_a 6.963
_cell_length_b 6.963
_cell_length_c 6.963
_cell_angle_alpha 90.00
_cell_angle_beta 90.00
_cell_angle_gamma 90.00
_space_group_name_H-M_alt 'F -4 3 m'
_space_group_IT_number 216
_space_group_name_Hall 'F -4 2 3'
loop_
_atom_site_label
_atom_site_type_symbol
_atom_site_fract_x
_atom_site_fract_y
_atom_site_fract_z
Th1 Th 0.000 0.000 0.000
Ga1 Ga 0.000 0.000 0.500
Pd1 Pd 0.250 0.250 0.250
Au1 Au 0.250 0.250 0.750
# **Formation energy from the elements**: -0.630 eV/atom
# **Calculated density**: 11.9 g cm⁻³